DFT (PBE) results for a relaxed NaCaSm2Se4 crystal.

Values from the calculation:
magnetic moment = 0.00 μB/atom
formation energy without anion corrections = -1802 meV per atom
symmetry = P2/m

The structure in POSCAR format:
```
NaCaSm2Se4
1.0
-1.248 -3.378 -2.124
6.496 -3.189 1.255
-0.363 -3.750 6.177
Na Ca Sm Se
1 1 2 4
direct
0.000 0.500 0.500
0.500 0.500 0.000
0.000 0.000 0.000
0.500 0.000 0.500
0.000 0.751 0.750
0.000 0.249 0.250
0.500 0.756 0.246
0.500 0.244 0.754
```